Below is a relaxed TbPaPt2 crystal, with properties calculated at the PBE level.

Unit cell a=4.972 b=4.972 c=4.972 alpha=60.00 beta=60.00 gamma=60.00
Last column: magnetic moment on the atom in μB.
Fractional coordinates of all 4 atoms:
Tb: 0.000 0.000 0.000  0.07
Pt: 0.250 0.250 0.250  -0.02
Pt: 0.750 0.750 0.750  -0.02
Pa: 0.500 0.500 0.500  0.51

Values from the calculation:
* polymorph energy (0 for the lowest one): 189 meV/atom
* symmetry: Fm-3m (225)
* energy of formation: -930 meV per atom
* total DFT energy (no corrections): -7.4824 eV/atom

=====

Below is a relaxed Ru2I4Br3 crystal, with properties calculated at the PBE level.

Unit cell a=19.359 b=7.507 c=7.507 alpha=77.53 beta=52.52 gamma=52.52
Last column: magnetic moment on the atom in μB.
Fractional coordinates of all 18 atoms:
Br: 0.250 0.481 0.519  0.00
Br: 0.750 0.519 0.481  0.00
Br: 0.277 0.592 0.872  0.04
Br: 0.223 0.128 0.408  0.04
Br: 0.777 0.872 0.592  0.04
Br: 0.723 0.408 0.128  0.04
I: 0.991 0.808 0.650  0.04
I: 0.509 0.350 0.192  0.04
I: 0.959 0.358 0.890  0.02
I: 0.009 0.192 0.350  0.04
I: 0.491 0.650 0.808  0.04
I: 0.459 0.890 0.358  0.02
I: 0.541 0.110 0.642  0.02
I: 0.041 0.642 0.110  0.02
Ru: 0.595 0.762 0.436  0.33
Ru: 0.095 0.436 0.762  0.33
Ru: 0.905 0.564 0.238  0.33
Ru: 0.405 0.238 0.564  0.33

Values from the calculation:
* ΔE_f (raw): 0.2 eV per formula unit
* symmetry: C2/c (15)
* total DFT energy (no corrections): -3.2834 eV/atom

=====

Below is a relaxed In3Ga3Sn crystal, with properties calculated at the PBE level.

Unit cell a=7.644 b=7.644 c=7.644 alpha=90.00 beta=90.00 gamma=90.00
Fractional coordinates of all 14 atoms:
Ga: 0.500 0.000 0.250
Ga: 0.750 0.500 0.000
Ga: 0.000 0.750 0.500
Ga: 0.000 0.250 0.500
Ga: 0.500 0.000 0.750
Ga: 0.250 0.500 0.000
In: 0.750 0.000 0.500
In: 0.500 0.250 0.000
In: 0.500 0.750 0.000
In: 0.000 0.500 0.750
In: 0.250 0.000 0.500
In: 0.000 0.500 0.250
Sn: 0.000 0.000 0.000
Sn: 0.500 0.500 0.500

Values from the calculation:
* polymorph energy (0 for the lowest one): 430 meV/atom
* symmetry: Pm-3n (223)
* energy of formation: 475 meV per atom
* total DFT energy (no corrections): -2.5677 eV/atom

=====

Below is a relaxed Pm6InOs2 crystal, with properties calculated at the PBE level.

Unit cell a=8.723 b=8.723 c=8.723 alpha=104.89 beta=111.15 gamma=112.47
Fractional coordinates of all 18 atoms:
Pm: 0.687 0.016 0.329
Pm: 0.313 0.642 0.329
Pm: 0.534 0.719 0.815
Pm: 0.794 0.240 0.034
Pm: 0.206 0.760 0.966
Pm: 0.794 0.760 0.553
Pm: 0.687 0.358 0.671
Pm: 0.096 0.281 0.815
Pm: 0.904 0.719 0.185
Pm: 0.206 0.240 0.447
Pm: 0.313 0.984 0.671
Pm: 0.466 0.281 0.185
Os: 0.500 0.383 0.883
Os: 0.500 0.617 0.117
Os: 0.672 0.000 0.672
Os: 0.328 0.000 0.328
In: 0.000 0.500 0.500
In: 0.000 0.000 0.000

Values from the calculation:
* symmetry: Immm (71)
* energy of formation: -219 meV per atom
* total DFT energy (no corrections): -6.1862 eV/atom

=====

Below is a relaxed Li2AgOs crystal, with properties calculated at the PBE level.

Unit cell a=4.461 b=2.575 c=5.122 alpha=87.55 beta=90.00 gamma=90.00
Fractional coordinates of all 4 atoms:
Os: 0.500 0.250 0.250
Li: 0.000 0.915 0.027
Li: 0.000 0.585 0.473
Ag: 0.500 0.750 0.750

Values from the calculation:
* polymorph energy (0 for the lowest one): 109 meV/atom
* symmetry: P2/m (10)
* energy of formation: 187 meV per atom
* total DFT energy (no corrections): -4.2901 eV/atom

=====

Below is a relaxed YHo7Mg2 crystal, with properties calculated at the PBE level.

Unit cell a=5.219 b=9.255 c=9.255 alpha=123.62 beta=90.00 gamma=90.00
Fractional coordinates of all 10 atoms:
Ho: 0.500 0.069 0.295
Ho: 0.500 0.705 0.931
Ho: 0.500 0.931 0.705
Ho: 0.000 0.210 0.790
Ho: 0.500 0.295 0.069
Ho: 0.500 0.500 0.500
Ho: 0.000 0.790 0.210
Y: 0.000 0.000 0.000
Mg: 0.500 0.701 0.299
Mg: 0.500 0.299 0.701

Values from the calculation:
* symmetry: Cmmm (65)
* energy of formation: 583 meV per atom
* total DFT energy (no corrections): -3.5872 eV/atom

=====

Record-wise total magnetic moment values, in μB/f.u.: 0.636 0.991 0.002 0.000 0.000 0.000
Record-wise ρ values, in g/cm3: 14.91 4.73 5.00 8.92 8.81 5.76
Record-wise DOS at the Fermi energy values, in states/eV per atom: 1.4682 0.7560 1.2041 0.9462 0.1938 1.7491